Material: Mg2InO
Method: DFT, PBE
State: optimized geometry

```
data_Mg2InO
_cell_length_a 4.741
_cell_length_b 4.741
_cell_length_c 4.741
_cell_angle_alpha 60.00
_cell_angle_beta 60.00
_cell_angle_gamma 60.00
_symmetry_space_group_name_H-M 'P 1'
_symmetry_Int_Tables_number 1
loop_
_symmetry_equiv_pos_as_xyz
'x,y,z'
loop_
_atom_site_label
_atom_site_type_symbol
_atom_site_fract_x
_atom_site_fract_y
_atom_site_fract_z
_atom_site_occupancy
Mg1 Mg 0.250 0.250 0.250 1
Mg2 Mg 0.750 0.750 0.750 1
O1 O 0.000 0.000 0.000 1
In1 In 0.500 0.500 0.500 1
```

Properties
Calculated volume (Å³/f.u.): 75.34
DOS at the Fermi energy (states/eV/cell): 7.315
ΔE_f (raw) (eV per atom): -0.03